# GGA-PBE TlCO2, optimized geometry
data_TlCO2
_cell_length_a 3.2683
_cell_length_b 3.2683
_cell_length_c 24.8515
_cell_angle_alpha 90.00
_cell_angle_beta 90.00
_cell_angle_gamma 120.00
_symmetry_space_group_name_H-M 'R -3 m'
_symmetry_Int_Tables_number 166
_symmetry_space_group_name_Hall '-R 3 2"'
loop_
_atom_site_label
_atom_site_fract_x
_atom_site_fract_y
_atom_site_fract_z
Tl1 0.0000 0.0000 0.0000
C1 0.0000 0.0000 0.5000
O1 0.0000 0.0000 0.4525
# **Raw formation energy**: -0.78 eV per atom
# **Calculated total energy**: -0.22623 Ha/atom
# **Size of the total moment**: 0.00 μB/f.u.